No. 1
{
  "formula": "PmGa2Te",
  "functional": "GGA-PBE",
  "state": "relaxed",
  "lattice": [[4.559, 0.000, 0.000], [0.000, 4.559, 0.000], [0.000, 0.000, 4.617]],
  "species": ["Pm", "Ga", "Ga", "Te"],
  "fractional_positions": [[0.000, 0.000, 0.000], [0.000, 0.500, 0.500], [0.500, 0.000, 0.500], [0.500, 0.500, 0.000]],
  "de_polymorph_kcal_per_mol_atoms": 0.000,
  "total_energy_ha_per_atom": -0.1486,
  "n_ef_per_ev_cell": 2.32,
  "raw_formation_energy_kj_per_mol_fu": -215
}

No. 2
{
  "formula": "Pm4GaTe4",
  "functional": "GGA-PBE",
  "state": "relaxed",
  "lattice": [[-3.650, 3.650, 6.893], [3.650, -3.650, 6.893], [3.650, 3.650, -6.893]],
  "species": ["Pm", "Pm", "Pm", "Pm", "Ga", "Te", "Te", "Te", "Te"],
  "fractional_positions": [[0.090, 0.665, 0.000], [0.335, 0.335, 0.425], [0.665, 0.090, 0.000], [0.910, 0.910, 0.575], [0.000, 0.000, 0.000], [0.000, 0.500, 0.500], [0.287, 0.287, 0.000], [0.500, 0.000, 0.500], [0.713, 0.713, 0.000]],
  "total_energy_ha_per_atom": -0.1735,
  "n_ef_per_ev_cell": 5.25,
  "raw_formation_energy_kj_per_mol_fu": -762
}

No. 3
{
  "formula": "Pm5GaTe5",
  "functional": "GGA-PBE",
  "state": "relaxed",
  "lattice": [[7.038, -3.139, 0.000], [7.038, 3.139, 0.000], [-2.821, 0.000, 8.368]],
  "species": ["Pm", "Pm", "Pm", "Pm", "Pm", "Ga", "Te", "Te", "Te", "Te", "Te"],
  "fractional_positions": [[0.000, 0.000, 0.000], [0.340, 0.340, 0.675], [0.341, 0.341, 0.163], [0.659, 0.659, 0.837], [0.660, 0.660, 0.325], [0.500, 0.500, 0.000], [0.165, 0.165, 0.828], [0.171, 0.171, 0.335], [0.500, 0.500, 0.500], [0.829, 0.829, 0.665], [0.835, 0.835, 0.172]],
  "total_energy_ha_per_atom": -0.1896,
  "n_ef_per_ev_cell": 2.76,
  "raw_formation_energy_kj_per_mol_fu": -1376
}